Below is Cs3IrI6 after structural relaxation, with properties calculated at the PBE level.

## Properties
density: 4.53 g/cm³
uncorrected formation energy: -0.9045 eV/atom

Structure (extended XYZ):
```
10
Lattice="0.0000 6.2836 6.2836 6.2836 0.0000 6.2836 6.2836 6.2836 0.0000" Properties=species:S:1:pos:R:3 pbc="T T T"
Cs 0.0000 0.0000 0.0000
Cs 3.1418 3.1418 3.1418
Cs 9.4255 9.4255 9.4255
Ir 6.2836 6.2836 6.2836
I 6.2836 6.2836 3.5863
I 6.2836 3.5863 6.2836
I 8.9810 6.2836 6.2836
I 3.5863 6.2836 6.2836
I 6.2836 8.9810 6.2836
I 6.2836 6.2836 8.9810
```